No. 1
# Rb2CaTlBi2

Crystalline Rb2CaTlBi2 at its relaxed geometry (PBE-GGA, the Alexandria database).

Cell and atoms, written as CIF:
```
data_Rb2CaTlBi2
_cell_length_a 7.441
_cell_length_b 17.891
_cell_length_c 7.671
_cell_angle_alpha 90.00
_cell_angle_beta 90.00
_cell_angle_gamma 90.00
_space_group_name_H-M_alt 'I b a m'
_space_group_IT_number 72
_space_group_name_Hall '-I 2 2c'
loop_
_atom_site_label
_atom_site_type_symbol
_atom_site_fract_x
_atom_site_fract_y
_atom_site_fract_z
Rb1 Rb 0.225 0.175 0.000
Ca1 Ca 0.000 0.500 0.250
Tl1 Tl 0.000 0.000 0.250
Bi1 Bi 0.240 0.393 0.000
```

Calculated values
- N(E_F): 0.3321 states/eV per atom
- ΔE_f: -45.2 kJ/mol of atoms
- M_tot: 0.0 μB per formula unit


No. 2
# Zr3VCd

Crystalline Zr3VCd at its relaxed geometry (PBE-GGA, the Alexandria database).

Cell and atoms, written as CIF:
```
data_Zr3VCd
_cell_length_a 4.906
_cell_length_b 4.906
_cell_length_c 4.906
_cell_angle_alpha 90.00
_cell_angle_beta 90.00
_cell_angle_gamma 90.00
_space_group_name_H-M_alt 'P m -3 m'
_space_group_IT_number 221
_space_group_name_Hall '-P 4 2 3'
loop_
_atom_site_label
_atom_site_type_symbol
_atom_site_fract_x
_atom_site_fract_y
_atom_site_fract_z
Zr1 Zr 0.000 0.000 0.500
V1 V 0.000 0.000 0.000
Cd1 Cd 0.500 0.500 0.500
```

Calculated values
- N(E_F): 1.2584 states/eV per atom
- Offset from the most stable computed form: 0 meV per atom
- ΔE_f: 52.0 kJ/mol of atoms
- M_tot: 0.0 μB per formula unit


No. 3
# BaZnInAu2

Crystalline BaZnInAu2 at its relaxed geometry (PBE-GGA, the Alexandria database).

Cell and atoms, written as CIF:
```
data_BaZnInAu2
_cell_length_a 4.560
_cell_length_b 4.560
_cell_length_c 12.257
_cell_angle_alpha 90.00
_cell_angle_beta 90.00
_cell_angle_gamma 90.00
_space_group_name_H-M_alt 'I -4 m 2'
_space_group_IT_number 119
_space_group_name_Hall 'I -4 -2'
loop_
_atom_site_label
_atom_site_type_symbol
_atom_site_fract_x
_atom_site_fract_y
_atom_site_fract_z
Ba1 Ba 0.000 0.000 0.000
Zn1 Zn 0.000 0.500 0.750
In1 In 0.000 0.500 0.250
Au1 Au 0.000 0.000 0.382
```

Calculated values
- N(E_F): 0.5197 states/eV per atom
- ΔE_f: -49.2 kJ/mol of atoms
- M_tot: 0.0 μB per formula unit


No. 4
# Cr2AsPd8

Crystalline Cr2AsPd8 at its relaxed geometry (PBE-GGA, the Alexandria database).

Cell and atoms, written as CIF:
```
data_Cr2AsPd8
_cell_length_a 4.462
_cell_length_b 5.709
_cell_length_c 13.546
_cell_angle_alpha 90.00
_cell_angle_beta 90.00
_cell_angle_gamma 90.00
_space_group_name_H-M_alt 'I m m m'
_space_group_IT_number 71
_space_group_name_Hall '-I 2 2'
loop_
_atom_site_label
_atom_site_type_symbol
_atom_site_fract_x
_atom_site_fract_y
_atom_site_fract_z
Cr1 Cr 0.000 0.000 0.188
As1 As 0.000 0.000 0.500
Pd1 Pd 0.000 0.245 0.000
Pd2 Pd 0.000 0.261 0.361
Pd3 Pd 0.000 0.500 0.186
```

Calculated values
- N(E_F): 1.3460 states/eV per atom
- ΔE_f: -10.9 kJ/mol of atoms
- M_tot: 6.7 μB per formula unit


No. 5
# CeYNpO6

Crystalline CeYNpO6 at its relaxed geometry (PBE-GGA, the Alexandria database).

Cell and atoms, written as CIF:
```
data_CeYNpO6
_cell_length_a 5.7836
_cell_length_b 5.7836
_cell_length_c 9.5960
_cell_angle_alpha 90.00
_cell_angle_beta 90.00
_cell_angle_gamma 120.00
_space_group_name_H-M_alt 'P -3 1 c'
_space_group_IT_number 163
_space_group_name_Hall '-P 3 2c'
loop_
_atom_site_label
_atom_site_type_symbol
_atom_site_fract_x
_atom_site_fract_y
_atom_site_fract_z
Ce1 Ce 0.0000 0.0000 0.0000
Y1 Y 0.3333 0.6667 0.2500
Np1 Np 0.3333 0.6667 0.7500
O1 O 0.0230 0.3561 0.6341
```

Calculated values
- N(E_F): 0.9612 states/eV per atom
- Formation energy from raw total energies: -3.19 eV/atom
- M_tot: 2.0 μB per formula unit


No. 6
# CaCu6Sn6

Crystalline CaCu6Sn6 at its relaxed geometry (PBE-GGA, the Alexandria database).

Cell and atoms, written as CIF:
```
data_CaCu6Sn6
_cell_length_a 5.588
_cell_length_b 9.123
_cell_length_c 9.722
_cell_angle_alpha 90.00
_cell_angle_beta 90.00
_cell_angle_gamma 90.00
_space_group_name_H-M_alt 'I m m m'
_space_group_IT_number 71
_space_group_name_Hall '-I 2 2'
loop_
_atom_site_label
_atom_site_type_symbol
_atom_site_fract_x
_atom_site_fract_y
_atom_site_fract_z
Ca1 Ca 0.000 0.000 0.000
Cu1 Cu 0.000 0.252 0.500
Cu2 Cu 0.250 0.250 0.250
Sn1 Sn 0.000 0.000 0.336
Sn2 Sn 0.000 0.338 0.000
Sn3 Sn 0.000 0.500 0.332
```

Calculated values
- N(E_F): 0.4129 states/eV per atom
- ΔE_f: -7.0 kJ/mol of atoms
- M_tot: 0.0 μB per formula unit


No. 7
# MgTeAs2

Crystalline MgTeAs2 at its relaxed geometry (PBE-GGA, the Alexandria database).

Cell and atoms, written as CIF:
```
data_MgTeAs2
_cell_length_a 11.961
_cell_length_b 3.999
_cell_length_c 4.399
_cell_angle_alpha 90.00
_cell_angle_beta 109.32
_cell_angle_gamma 90.00
_space_group_name_H-M_alt 'C 1 2/m 1'
_space_group_IT_number 12
_space_group_name_Hall '-C 2y'
loop_
_atom_site_label
_atom_site_type_symbol
_atom_site_fract_x
_atom_site_fract_y
_atom_site_fract_z
Mg1 Mg 0.000 0.000 0.000
Te1 Te 0.000 0.500 0.500
As1 As 0.247 0.000 0.179
```

Calculated values
- N(E_F): 0.2231 states/eV per atom
- Formation energy from raw total energies: -0.25 eV/atom
- Offset from the most stable computed form: 0 meV per atom
- M_tot: 0.0 μB per formula unit


No. 8
# Pm8Pr3Er

Crystalline Pm8Pr3Er at its relaxed geometry (PBE-GGA, the Alexandria database).

Cell and atoms, written as CIF:
```
data_Pm8Pr3Er
_cell_length_a 8.864
_cell_length_b 8.864
_cell_length_c 11.570
_cell_angle_alpha 90.00
_cell_angle_beta 90.00
_cell_angle_gamma 90.00
_space_group_name_H-M_alt 'I -4 2 m'
_space_group_IT_number 121
_space_group_name_Hall 'I -4 2'
loop_
_atom_site_label
_atom_site_type_symbol
_atom_site_fract_x
_atom_site_fract_y
_atom_site_fract_z
Pm1 Pm 0.124 0.124 0.247
Pm2 Pm 0.246 0.246 0.991
Pr1 Pr 0.000 0.000 0.500
Pr2 Pr 0.000 0.500 0.250
Er1 Er 0.000 0.000 0.000
```

Calculated values
- N(E_F): 1.5526 states/eV per atom
- ΔE_f: 53.4 kJ/mol of atoms
- M_tot: 0.0 μB per formula unit